one:
The following is a DFT calculation (PBE) of a relaxed YReSb2 crystal.

POSCAR file:
```
YReSb2
1.0
7.843 -0.043 -0.045
-3.122 3.861 0.009
1.616 1.303 2.857
Re Sb Y
1 2 1
Cartesian
2.360 1.909 -0.018
0.000 0.000 0.000
4.729 0.630 1.406
-0.753 2.582 1.433
```

Fermi-level density of states in states/eV/f.u.: 3.651
Space-group type: P2/m (10)

two:
The following is a DFT calculation (PBE) of a relaxed YReSb2 crystal.

POSCAR file:
```
YReSb2
1.0
5.213 0.000 0.000
0.000 5.213 0.000
2.607 2.607 8.442
Y Re Sb
2 2 4
Cartesian
2.607 2.607 0.000
2.607 5.213 4.221
0.000 0.000 0.000
5.213 2.607 4.221
4.369 1.303 2.111
0.844 3.910 2.111
3.910 3.450 6.332
6.516 6.976 6.332
```

Fermi-level density of states in states/eV/f.u.: 2.329
Space-group type: I-42d (122)

Which is most stable, and by how much? one, by 279 meV per atom.

one:
The following is a DFT calculation (PBE) of a relaxed YRe3Sb crystal.

POSCAR file:
```
YRe3Sb
1.0
-1.810 -2.963 3.419
4.486 -0.692 1.775
-0.594 3.807 2.984
Y Re Sb
1 3 1
Cartesian
1.041 0.076 4.089
2.243 -0.346 0.888
-0.297 1.903 1.492
-0.905 -1.482 1.710
0.000 0.000 0.000
```

Fermi-level density of states in states/eV/f.u.: 3.176
Space-group type: Pm-3m (221)

two:
The following is a DFT calculation (PBE) of a relaxed YRe3Sb crystal.

POSCAR file:
```
YRe3Sb
1.0
4.893 0.000 0.000
0.000 4.893 0.000
0.000 0.000 4.893
Y Re Sb
1 3 1
Cartesian
0.000 0.000 0.000
0.000 2.447 0.000
0.000 0.000 2.447
2.447 0.000 0.000
2.447 2.447 2.447
```

Fermi-level density of states in states/eV/f.u.: 5.582
Space-group type: Pm-3m (221)

Which is most stable, and by how much? one, by 1174 meV per atom.

one:
The following is a DFT calculation (PBE) of a relaxed ZnRe2Sb crystal.

POSCAR file:
```
ZnRe2Sb
1.0
-1.230 -2.402 -3.655
-2.050 -1.489 1.668
-3.237 3.269 -1.059
Re Sb Zn
2 1 1
Cartesian
-1.902 -1.193 1.424
-2.055 -1.084 -1.420
-2.532 1.224 0.048
-4.721 -0.168 -1.125
```

Fermi-level density of states in states/eV/f.u.: 2.585
Space-group type: Pmm2 (25)

two:
The following is a DFT calculation (PBE) of a relaxed ZnRe2Sb crystal.

POSCAR file:
```
ZnRe2Sb
1.0
-2.101 0.932 1.879
-0.943 -1.333 -2.479
0.210 -7.592 4.001
Re Sb Zn
2 1 1
Cartesian
0.210 -7.585 3.997
0.105 -3.803 2.004
-1.469 -2.098 0.700
-1.365 -5.895 2.701
```

Fermi-level density of states in states/eV/f.u.: 4.102
Space-group type: Cmmm (65)

Which is most stable, and by how much? one, by 406 meV per atom.

one:
The following is a DFT calculation (PBE) of a relaxed ZnRe2Sb crystal.

POSCAR file:
```
ZnRe2Sb
1.0
-8.191 -1.695 -2.218
-7.190 -4.485 -1.756
-8.157 -2.836 0.556
Re Sb Zn
2 1 1
Cartesian
-0.011 -0.004 -0.002
-11.758 -4.503 -1.707
-5.885 -2.254 -0.854
-17.654 -6.761 -2.563
```

Fermi-level density of states in states/eV/f.u.: 4.706
Space-group type: R-3m (166)

two:
The following is a DFT calculation (PBE) of a relaxed ZnRe2Sb crystal.

POSCAR file:
```
ZnRe2Sb
1.0
4.548 0.000 0.000
2.274 3.939 0.000
2.274 1.313 3.714
Re Sb Zn
2 1 1
Cartesian
0.000 0.000 0.000
6.823 3.939 2.785
4.548 2.626 1.857
2.274 1.313 0.928
```

Fermi-level density of states in states/eV/f.u.: 3.706
Space-group type: F-43m (216)

Which is most stable, and by how much? two, by 30 meV per atom.

one:
The following is a DFT calculation (PBE) of a relaxed ZnRe2Sb crystal.

POSCAR file:
```
ZnRe2Sb
1.0
-2.750 -0.939 0.776
1.001 -2.833 0.121
1.957 1.043 8.201
Re Sb Zn
2 1 1
Cartesian
0.048 0.026 0.202
-0.470 -1.670 2.143
0.866 0.462 3.630
0.743 -1.024 7.223
```

Fermi-level density of states in states/eV/f.u.: 3.741
Space-group type: P4mm (99)

two:
The following is a DFT calculation (PBE) of a relaxed ZnRe2Sb crystal.

POSCAR file:
```
ZnRe2Sb
1.0
-0.809 -2.612 -0.881
1.981 0.152 2.075
-7.110 -0.088 6.791
Re Sb Zn
2 1 1
Cartesian
-0.064 -0.001 0.061
-0.996 -1.249 2.108
-3.467 -0.043 3.312
-4.966 -1.299 5.900
```

Fermi-level density of states in states/eV/f.u.: 2.893
Space-group type: Cmm2 (35)

Which is most stable, and by how much? one, by 336 meV per atom.

one:
The following is a DFT calculation (PBE) of a relaxed ZnRe2Sb crystal.

POSCAR file:
```
ZnRe2Sb
1.0
-1.025 0.980 4.439
1.471 -0.741 4.359
2.846 4.099 0.652
Re Sb Zn
2 1 1
Cartesian
0.537 0.371 8.777
1.556 2.038 4.745
2.470 3.254 7.087
0.823 1.085 2.362
```

Fermi-level density of states in states/eV/f.u.: 2.796
Space-group type: C2/m (12)

two:
The following is a DFT calculation (PBE) of a relaxed ZnRe2Sb crystal.

POSCAR file:
```
ZnRe2Sb
1.0
4.909 0.011 0.000
1.593 4.644 0.000
-3.251 -2.327 2.849
Re Sb Zn
2 1 1
Cartesian
0.000 0.000 0.000
0.796 2.322 1.424
3.251 2.327 0.000
2.455 0.005 1.424
```

Fermi-level density of states in states/eV/f.u.: 3.728
Space-group type: I-4m2 (119)

Which is most stable, and by how much? one, by 64 meV per atom.

one:
The following is a DFT calculation (PBE) of a relaxed ZnRe2Sb crystal.

POSCAR file:
```
ZnRe2Sb
1.0
-3.945 1.619 1.387
-1.515 3.900 -1.612
-3.506 0.061 -2.795
Re Zn Sb
2 1 1
Cartesian
-2.241 1.395 -0.755
-6.724 4.185 -2.265
0.000 0.000 0.000
-4.483 2.790 -1.510
```

Fermi-level density of states in states/eV/f.u.: 4.044
Space-group type: Fm-3m (225)

two:
The following is a DFT calculation (PBE) of a relaxed ZnRe2Sb crystal.

POSCAR file:
```
ZnRe2Sb
1.0
-4.967 -1.722 0.024
3.238 -2.665 -3.170
0.175 -2.693 1.244
Re Sb Zn
2 1 1
Cartesian
0.000 0.000 0.000
-0.865 -2.194 -1.573
-2.396 -2.207 0.634
1.706 -2.679 -0.963
```

Fermi-level density of states in states/eV/f.u.: 3.432
Space-group type: C2/m (12)

three:
The following is a DFT calculation (PBE) of a relaxed ZnRe2Sb crystal.

POSCAR file:
```
ZnRe2Sb
1.0
4.878 0.000 0.000
1.491 4.644 0.000
-3.184 -2.322 2.874
Re Sb Zn
2 1 1
Cartesian
0.000 0.000 0.000
3.184 2.322 0.000
0.746 2.322 1.437
2.439 0.000 1.437
```

Fermi-level density of states in states/eV/f.u.: 5.187
Space-group type: I4/mmm (139)

four:
The following is a DFT calculation (PBE) of a relaxed ZnRe2Sb crystal.

POSCAR file:
```
ZnRe2Sb
1.0
-1.556 -1.464 3.885
3.935 0.802 1.879
-0.970 3.012 0.747
Re Sb Zn
2 1 1
Cartesian
0.000 0.000 0.000
1.189 -0.331 2.882
-1.263 0.774 2.316
1.483 1.907 1.313
```

Fermi-level density of states in states/eV/f.u.: 4.211
Space-group type: P4/mmm (123)

Which is most stable, and by how much? one, by 40 meV per atom.

one:
The following is a DFT calculation (PBE) of a relaxed ZnRe2Sb crystal.

POSCAR file:
```
ZnRe2Sb
1.0
-2.141 3.218 2.436
-1.426 -2.503 2.054
4.065 0.782 2.538
Re Sb Zn
2 1 1
Cartesian
3.678 0.560 2.492
1.707 -0.638 2.343
-0.410 1.179 2.366
0.909 0.319 4.662
```

Fermi-level density of states in states/eV/f.u.: 2.205
Space-group type: P2/m (10)

two:
The following is a DFT calculation (PBE) of a relaxed ZnRe2Sb crystal.

POSCAR file:
```
ZnRe2Sb
1.0
-4.124 -4.827 6.798
-3.541 -7.048 4.930
-1.469 -6.134 6.836
Re Sb Zn
2 1 1
Cartesian
-9.107 -17.957 18.511
-2.338 -4.611 4.753
-4.614 -9.099 9.380
-6.773 -13.355 13.767
```

Fermi-level density of states in states/eV/f.u.: 4.048
Space-group type: R3m (160)

three:
The following is a DFT calculation (PBE) of a relaxed ZnRe2Sb crystal.

POSCAR file:
```
ZnRe2Sb
1.0
-1.636 0.207 3.673
-2.902 -2.544 -1.149
2.918 -8.311 3.975
Re Zn Sb
4 2 2
Cartesian
-0.532 -2.282 2.867
-1.413 -3.626 1.014
0.266 -7.303 3.841
-1.563 -8.085 5.278
-2.269 -1.168 1.262
-1.127 -6.012 2.044
0.000 0.000 0.000
-0.494 -4.636 4.456
```

Fermi-level density of states in states/eV/f.u.: 1.244
Space-group type: I-42d (122)

Which is most stable, and by how much? two, by 221 meV per atom.

one:
The following is a DFT calculation (PBE) of a relaxed Zn2Re2Sb crystal.

POSCAR file:
```
Zn2Re2Sb
1.0
-0.886 -0.609 -3.551
-1.480 -3.272 0.931
-6.880 0.901 -0.376
Re Zn Sb
2 2 1
Cartesian
-4.474 -0.824 -2.618
-4.771 -2.156 -0.378
-2.309 -1.379 -1.125
-6.936 -1.601 -1.871
0.000 0.000 0.000
```

Fermi-level density of states in states/eV/f.u.: 3.098
Space-group type: I4/mmm (139)

two:
The following is a DFT calculation (PBE) of a relaxed Zn2Re2Sb crystal.

POSCAR file:
```
Zn2Re2Sb
1.0
6.830 0.000 0.000
0.000 6.830 0.000
0.000 0.000 3.422
Re Zn Sb
4 4 2
Cartesian
1.185 4.600 1.711
4.600 5.644 1.711
5.644 2.229 1.711
2.229 1.185 1.711
2.573 5.988 0.000
5.988 4.257 0.000
4.257 0.842 0.000
0.842 2.573 0.000
0.000 0.000 0.000
3.415 3.415 0.000
```

Fermi-level density of states in states/eV/f.u.: 4.130
Space-group type: P4/mbm (127)

Which is most stable, and by how much? one, by 164 meV per atom.

one:
The following is a DFT calculation (PBE) of a relaxed ZrReSb2 crystal.

POSCAR file:
```
ZrReSb2
1.0
5.149 0.000 0.000
0.000 3.376 0.004
0.000 -0.005 4.726
Re Sb Zr
1 2 1
Cartesian
2.575 2.950 3.490
0.000 2.954 0.064
2.575 1.265 1.075
0.000 1.264 2.470
```

Fermi-level density of states in states/eV/f.u.: 2.736
Space-group type: Pmm2 (25)

two:
The following is a DFT calculation (PBE) of a relaxed ZrReSb2 crystal.

POSCAR file:
```
ZrReSb2
1.0
-1.937 2.148 3.153
0.014 -3.532 2.415
7.789 1.838 6.436
Re Zr Sb
2 2 4
Cartesian
0.000 0.000 0.000
2.445 1.647 6.187
-0.962 -0.692 2.784
3.421 -1.193 5.818
0.706 1.396 3.934
1.746 -1.515 3.461
5.121 0.918 6.876
4.159 0.110 9.739
```

Fermi-level density of states in states/eV/f.u.: 3.822
Space-group type: I-42d (122)

three:
The following is a DFT calculation (PBE) of a relaxed ZrReSb2 crystal.

POSCAR file:
```
ZrReSb2
1.0
4.907 0.000 0.000
2.454 4.250 0.000
2.454 1.417 4.007
Re Sb Zr
1 2 1
Cartesian
4.907 2.833 2.003
0.000 0.000 0.000
2.454 1.417 1.002
7.361 4.250 3.005
```

Fermi-level density of states in states/eV/f.u.: 3.061
Space-group type: F-43m (216)

Which is most stable, and by how much? one, by 207 meV per atom.

one:
The following is a DFT calculation (PBE) of a relaxed ZrReSb2 crystal.

POSCAR file:
```
ZrReSb2
1.0
-4.631 4.146 2.447
-5.501 2.692 -2.666
3.771 -5.292 1.547
Re Sb Zr
1 2 1
Cartesian
-3.140 0.235 -0.608
-0.478 0.323 -0.010
-3.280 1.351 1.935
-4.529 3.057 -0.098
```

Fermi-level density of states in states/eV/f.u.: 1.791
Space-group type: Imm2 (44)

two:
The following is a DFT calculation (PBE) of a relaxed ZrReSb2 crystal.

POSCAR file:
```
ZrReSb2
1.0
4.523 -0.004 0.006
3.313 3.079 0.006
1.159 0.455 6.027
Re Sb Zr
1 2 1
Cartesian
6.746 2.647 4.529
1.178 0.462 5.831
4.478 1.757 3.216
2.249 0.882 1.510
```

Fermi-level density of states in states/eV/f.u.: 3.075
Space-group type: C2/m (12)

Which is most stable, and by how much? one, by 163 meV per atom.

one:
The following is a DFT calculation (PBE) of a relaxed ZrReSb2 crystal.

POSCAR file:
```
ZrReSb2
1.0
3.311 0.009 0.000
-0.102 3.309 0.000
0.000 0.000 7.284
Re Sb Zr
1 2 1
Cartesian
1.604 1.659 5.463
0.000 0.000 7.095
0.000 0.000 3.832
1.604 1.659 1.821
```

Fermi-level density of states in states/eV/f.u.: 1.759
Space-group type: Cmmm (65)

two:
The following is a DFT calculation (PBE) of a relaxed ZrReSb2 crystal.

POSCAR file:
```
ZrReSb2
1.0
4.459 -1.262 1.366
0.715 -4.139 2.387
2.240 -3.687 -2.175
Re Zr Sb
1 1 2
Cartesian
3.707 -4.544 0.789
0.000 0.000 0.000
1.854 -2.272 0.395
5.561 -6.816 1.184
```

Fermi-level density of states in states/eV/f.u.: 4.502
Space-group type: Fm-3m (225)

Which is most stable, and by how much? one, by 56 meV per atom.